Entry 1:
# Np4TlPd12

A relaxed structure of Np4TlPd12 (PBE-GGA, Alexandria).

a b c (Å): 7.482 7.482 7.482
angles (deg): 109.47 109.47 109.47
Fractional positions:
Np 0.000 0.000 0.500
Np 0.000 0.500 0.000
Np 0.500 0.000 0.000
Np 0.500 0.500 0.500
Tl 0.000 0.000 0.000
Pd 0.000 0.306 0.306
Pd 0.000 0.694 0.694
Pd 0.250 0.500 0.750
Pd 0.250 0.750 0.500
Pd 0.306 0.000 0.306
Pd 0.306 0.306 0.000
Pd 0.500 0.250 0.750
Pd 0.500 0.750 0.250
Pd 0.694 0.000 0.694
Pd 0.694 0.694 0.000
Pd 0.750 0.250 0.500
Pd 0.750 0.500 0.250

Properties
calculated density = 12.513 g/cm3
energy of formation = -0.31 eV/atom
SG = No. 229
E_tot = -121.731 eV per cell

=====

Entry 2:
# PuCdSe2

A relaxed structure of PuCdSe2 (PBE-GGA, Alexandria).

a b c (Å): 9.035 9.035 9.035
angles (deg): 26.50 26.50 26.50
Fractional positions:
Pu 0.000 0.000 0.000
Cd 0.500 0.500 0.500
Se 0.394 0.394 0.394
Se 0.606 0.606 0.606

Properties
ΔE_f (raw) = -0.836 eV/atom
calculated density = 6.600 g/cm3
SG = No. 166
E_tot = -25.560 eV per cell

=====

Entry 3:
# Tl5S3

A relaxed structure of Tl5S3 (PBE-GGA, Alexandria).

a b c (Å): 8.704 8.704 6.966
angles (deg): 90.00 90.00 120.00
Fractional positions:
Tl 0.000 0.258 0.250
Tl 0.000 0.742 0.750
Tl 0.258 0.000 0.250
Tl 0.258 0.258 0.750
Tl 0.333 0.667 0.000
Tl 0.333 0.667 0.500
Tl 0.667 0.333 0.000
Tl 0.667 0.333 0.500
Tl 0.742 0.000 0.750
Tl 0.742 0.742 0.250
S 0.000 0.403 0.750
S 0.000 0.597 0.250
S 0.403 0.000 0.750
S 0.403 0.403 0.250
S 0.597 0.000 0.250
S 0.597 0.597 0.750

Properties
ΔE_f (raw) = -0.197 eV/atom
calculated density = 8.125 g/cm3
SG = No. 193
E_tot = -51.572 eV per cell
energy above the most stable polymorph in this dataset = 58 meV per atom

=====

Entry 4:
# LiB3Os

A relaxed structure of LiB3Os (PBE-GGA, Alexandria).

a b c (Å): 4.096 4.096 4.096
angles (deg): 90.00 90.00 90.00
Fractional positions:
Li 0.000 0.000 0.000
B 0.000 0.500 0.500
B 0.500 0.000 0.500
B 0.500 0.500 0.000
Os 0.500 0.500 0.500

Properties
calculated density = 5.549 g/cm3
energy of formation = 0.48 eV/atom
SG = No. 221
E_tot = -30.774 eV per cell
energy above the most stable polymorph in this dataset = 0 meV per atom

=====

Computed spin magnetization (μB per cell) in order:
15.7 4.9 0.0 0.0